No. 1
Lu4FeB3 (PBE, relaxed); energy = -88.6 eV per cell; SG = No. 194
1.0
3.446 0.000 0.000
-1.723 2.984 0.000
0.000 0.000 28.101
Lu Fe B
8 2 6
Direct
0.000 0.000 0.176 Lu
0.000 0.000 0.324 Lu
0.000 0.000 0.676 Lu
0.000 0.000 0.824 Lu
0.333 0.667 0.059 Lu
0.333 0.667 0.441 Lu
0.667 0.333 0.559 Lu
0.667 0.333 0.941 Lu
0.333 0.667 0.250 Fe
0.667 0.333 0.750 Fe
0.000 0.000 0.000 B
0.000 0.000 0.500 B
0.333 0.667 0.620 B
0.333 0.667 0.880 B
0.667 0.333 0.120 B
0.667 0.333 0.380 B

No. 2
ZrBi (PBE, relaxed); energy = -26.3 eV per cell; SG = No. 194
1.0
4.445 0.000 0.000
-2.223 3.850 0.000
0.000 0.000 6.347
Zr Bi
2 2
Direct
0.000 0.000 0.000 Zr
0.000 0.000 0.500 Zr
0.333 0.667 0.250 Bi
0.667 0.333 0.750 Bi

No. 3
Sm2Ga2IBr (PBE, relaxed); energy = -25.7 eV per cell; SG = No. 156
1.0
4.231 0.000 0.000
-2.115 3.664 0.000
0.000 0.000 11.407
Sm Ga I Br
2 2 1 1
Direct
0.000 0.000 0.000 Sm
0.000 0.000 0.365 Sm
0.333 0.667 0.153 Ga
0.667 0.333 0.210 Ga
0.667 0.333 0.821 I
0.333 0.667 0.522 Br

No. 4
ScCdIn2Br6 (PBE, relaxed); energy = -65.4 eV per cell; SG = No. 166
1.0
3.809 2.199 15.825
-3.809 2.199 15.825
0.000 -4.398 15.825
Sc Cd In Br
2 2 4 12
Direct
0.095 0.095 0.095 Sc
0.905 0.905 0.905 Sc
0.000 0.000 0.000 Cd
0.500 0.500 0.500 Cd
0.220 0.220 0.220 In
0.411 0.411 0.411 In
0.589 0.589 0.589 In
0.780 0.780 0.780 In
0.100 0.100 0.605 Br
0.100 0.605 0.100 Br
0.203 0.703 0.703 Br
0.297 0.297 0.797 Br
0.297 0.797 0.297 Br
0.395 0.900 0.900 Br
0.605 0.100 0.100 Br
0.703 0.203 0.703 Br
0.703 0.703 0.203 Br
0.797 0.297 0.297 Br
0.900 0.395 0.900 Br
0.900 0.900 0.395 Br

No. 5
Pd2O5 (PBE, relaxed); energy = -34.9 eV per cell; SG = No. 8
1.0
2.648 -4.541 0.000
2.648 4.541 0.000
-1.812 0.000 3.379
Pd O
2 5
Direct
0.151 0.849 0.000 Pd
0.849 0.151 0.000 Pd
0.286 0.597 0.298 O
0.392 0.721 0.705 O
0.597 0.286 0.298 O
0.721 0.392 0.705 O
0.966 0.966 0.338 O

No. 6
Nd2ThAs3 (PBE, relaxed); energy = -39.9 eV per cell; SG = No. 71
1.0
-2.136 3.013 6.391
2.136 -3.013 6.391
2.136 3.013 -6.391
Nd Th As
2 1 3
Direct
0.167 0.167 0.000 Nd
0.833 0.833 0.000 Nd
0.500 0.500 0.000 Th
0.000 0.500 0.500 As
0.336 0.836 0.500 As
0.664 0.164 0.500 As